Entry 1:
A plane-wave DFT calculation with GGA-PBE was carried out for HoScZnRh after structural relaxation.

The value obtained for the spin magnetization is 0.00 Bohr magnetons per cell. The calculation puts the density at 8.0 Mg/m³. The calculation puts the distance to the lowest polymorph of the same formula at 0.000 eV/atom. The calculated formation energy comes out at -0.65 eV/atom.

The structure belongs to space group P4mm (No. 99); the cell edges are 3.3837, 3.3837 and 6.8318 Å and the angles 90.00°, 90.00° and 90.00°. The inequivalent atoms are Ho at (0.0000, 0.0000, 0.0000), Sc at (0.0000, 0.0000, 0.5308), Zn at (0.5000, 0.5000, 0.2917) and Rh at (0.5000, 0.5000, 0.7459).

---

Entry 2:
A plane-wave DFT calculation with GGA-PBE was carried out for Si2GeHPt after structural relaxation.

The value obtained for the spin magnetization is 0.00 Bohr magnetons per cell. The calculation puts the density at 8.1 Mg/m³. For the total energy, the calculation gives -4.60 eV/atom.

The structure belongs to space group P4/mmm (No. 123); the cell edges are 4.0376, 4.0376 and 4.1035 Å and the angles 90.00°, 90.00° and 90.00°. The inequivalent atoms are Si at (0.0000, 0.5000, 0.0000), Ge at (0.0000, 0.0000, 0.5000), H at (0.0000, 0.0000, 0.0000) and Pt at (0.5000, 0.5000, 0.5000).

---

Entry 3:
A plane-wave DFT calculation with GGA-PBE was carried out for TbDy3Er2Sb6 after structural relaxation.

The value obtained for the spin magnetization is 0.00 Bohr magnetons per cell. The calculation puts the density at 8.0 Mg/m³. For the total energy, the calculation gives -5.48 eV/atom.

The structure belongs to space group C2/m (No. 12); the cell edges are 19.0700, 4.3754 and 8.7513 Å and the angles 90.00°, 103.21° and 90.00°. The inequivalent atoms are Tb at (0.0000, 0.0000, 0.0000), Dy at (0.0000, 0.0000, 0.5000), Dy at (0.1663, 0.5000, 0.8329), Er at (0.1669, 0.5000, 0.3334), Sb at (0.0007, 0.5000, 0.2512), Sb at (0.1671, 0.0000, 0.0850) and Sb at (0.1671, 0.0000, 0.5819).

---

Entry 4:
A plane-wave DFT calculation with GGA-PBE was carried out for Rb2Li3PbF12 after structural relaxation.

The value obtained for the spin magnetization is 9.00 Bohr magnetons per cell. The calculation puts the density at 3.7 Mg/m³. For the total energy, the calculation gives -3.96 eV/atom.

The structure belongs to space group R-3m (No. 166, hexagonal axes); the cell edges are 7.1833, 7.1833 and 18.9093 Å and the angles 90.00°, 90.00° and 120.00°. The inequivalent atoms are Rb at (0.0000, 0.0000, 0.1126), Li at (0.0000, 0.5000, 0.0000), Pb at (0.0000, 0.0000, 0.5000), F at (0.0282, 0.5141, 0.3492) and F at (0.0465, 0.5232, 0.1074).

---

Question: Look up the density of the second one.
Answer: 8.1 Mg/m³